A relaxed structure of ZnHg3. Source: Alexandria via LeMat-Bulk, functional GGA-PBE.

Structure (CIF):
```
data_ZnHg3
_chemical_formula_sum 'Zn1 Hg3'
_cell_length_a 3.575
_cell_length_b 8.858
_cell_length_c 3.575
_cell_angle_alpha 101.64
_cell_angle_beta 60.00
_cell_angle_gamma 101.64
_symmetry_space_group_name_H-M 'P 1'
_symmetry_Int_Tables_number 1
loop_
_symmetry_equiv_pos_as_xyz
'x,y,z'
loop_
_atom_site_label
_atom_site_type_symbol
_atom_site_fract_x
_atom_site_fract_y
_atom_site_fract_z
_atom_site_occupancy
Hg1 Hg 0.500 0.500 0.500 1
Hg2 Hg 0.743 0.229 0.743 1
Hg3 Hg 0.257 0.771 0.257 1
Zn1 Zn 0.000 0.000 0.000 1
```

***

A relaxed structure of Tb2PuAl. Source: Alexandria via LeMat-Bulk, functional GGA-PBE.

Structure (CIF):
```
data_Tb2PuAl
_chemical_formula_sum 'Tb2 Pu1 Al1'
_cell_length_a 5.303
_cell_length_b 5.303
_cell_length_c 5.303
_cell_angle_alpha 60.00
_cell_angle_beta 60.00
_cell_angle_gamma 60.00
_symmetry_space_group_name_H-M 'P 1'
_symmetry_Int_Tables_number 1
loop_
_symmetry_equiv_pos_as_xyz
'x,y,z'
loop_
_atom_site_label
_atom_site_type_symbol
_atom_site_fract_x
_atom_site_fract_y
_atom_site_fract_z
_atom_site_occupancy
Pu1 Pu 0.000 0.000 0.000 1
Tb1 Tb 0.250 0.250 0.250 1
Tb2 Tb 0.750 0.750 0.750 1
Al1 Al 0.500 0.500 0.500 1
```

***

no.,uncorrected energy (eV per formula unit),distance to the lowest polymorph of the same formula (meV per atom),ΔH_f (0 K) (meV/atom)
1,-1.875,7.7,76.0
2,-27.291,114.0,11.0